Arrangement one

Compound: KGa4Ir
Source: Alexandria
Functional: GGA-PBE
Structure: relaxed

Properties
- total magnetic moment (μB per formula unit) = 0.000
- mass density (g cm⁻³) = 6.32
- space-group type = Pmma

Cell lengths 7.9594, 4.1671, 8.0884 Å; angles 90.00, 90.00, 90.00 degrees
Atoms (fractional coordinates):
K: 0.2500 0.0000 0.0865
K: 0.7500 0.0000 0.9135
Ga: 0.0000 0.0000 0.5000
Ga: 0.0693 0.5000 0.7439
Ga: 0.2500 0.5000 0.4245
Ga: 0.4307 0.5000 0.7439
Ga: 0.5000 0.0000 0.5000
Ga: 0.5693 0.5000 0.2561
Ga: 0.7500 0.5000 0.5755
Ga: 0.9307 0.5000 0.2561
Ir: 0.2500 0.0000 0.6662
Ir: 0.7500 0.0000 0.3338

=====

Arrangement two

Compound: KGa4Ir
Source: Alexandria
Functional: GGA-PBE
Structure: relaxed

Properties
- total magnetic moment (μB per formula unit) = 0.000
- mass density (g cm⁻³) = 5.80
- space-group type = C2/m

Cell lengths 6.1524, 6.1524, 8.8528 Å; angles 110.26, 110.26, 90.01 degrees
Atoms (fractional coordinates):
K: 0.0000 0.5000 0.0000
K: 0.5000 0.0000 0.0000
Ga: 0.0271 0.0271 0.3537
Ga: 0.1728 0.4727 0.6461
Ga: 0.3272 0.3272 0.3538
Ga: 0.4727 0.1728 0.6461
Ga: 0.5273 0.8272 0.3539
Ga: 0.6728 0.6728 0.6462
Ga: 0.8272 0.5273 0.3539
Ga: 0.9729 0.9729 0.6463
Ir: 0.2500 0.7500 0.5000
Ir: 0.7500 0.2500 0.5000

=====

Q: Which of them is the most stable? A: arrangement one.

=====

Arrangement one

Compound: LaGa9Ir2
Source: Alexandria
Functional: GGA-PBE
Structure: relaxed

Properties
- total magnetic moment (μB per formula unit) = 0.000
- mass density (g cm⁻³) = 8.43
- space-group type = P6/mmm

Cell lengths 8.2423, 8.2423, 3.8550 Å; angles 90.00, 90.00, 120.00 degrees
Atoms (fractional coordinates):
La: 0.0000 0.0000 0.0000
Ga: 0.0000 0.5000 0.0000
Ga: 0.1998 0.3996 0.5000
Ga: 0.1998 0.8002 0.5000
Ga: 0.3996 0.1998 0.5000
Ga: 0.5000 0.0000 0.0000
Ga: 0.5000 0.5000 0.0000
Ga: 0.6004 0.8002 0.5000
Ga: 0.8002 0.1998 0.5000
Ga: 0.8002 0.6004 0.5000
Ir: 0.3333 0.6667 0.0000
Ir: 0.6667 0.3333 0.0000

=====

Arrangement two

Compound: LaGa9Ir2
Source: Alexandria
Functional: GGA-PBE
Structure: relaxed

Properties
- total magnetic moment (μB per formula unit) = 0.000
- mass density (g cm⁻³) = 9.02
- space-group type = I4_1/amd

Cell lengths 8.3572, 8.3572, 8.3572 Å; angles 102.26, 102.26, 125.13 degrees
Atoms (fractional coordinates):
La: 0.3750 0.6250 0.7500
La: 0.6250 0.3750 0.2500
Ga: 0.1250 0.8750 0.2500
Ga: 0.1431 0.5659 0.3355
Ga: 0.1431 0.8075 0.5771
Ga: 0.1925 0.2696 0.3355
Ga: 0.1925 0.8569 0.9229
Ga: 0.2696 0.1925 0.8355
Ga: 0.2696 0.4341 0.0771
Ga: 0.4341 0.2696 0.5771
Ga: 0.4341 0.8569 0.1645
Ga: 0.5659 0.1431 0.8355
Ga: 0.5659 0.7304 0.4229
Ga: 0.7304 0.5659 0.9229
Ga: 0.7304 0.8075 0.1645
Ga: 0.8075 0.1431 0.0771
Ga: 0.8075 0.7304 0.6645
Ga: 0.8569 0.1925 0.4229
Ga: 0.8569 0.4341 0.6645
Ga: 0.8750 0.1250 0.7500
Ir: 0.0000 0.0000 0.0000
Ir: 0.0000 0.0000 0.5000
Ir: 0.0000 0.5000 0.0000
Ir: 0.5000 0.0000 0.5000

=====

Q: Which of them is the most stable? A: arrangement one.

=====

Arrangement one

Compound: La3GaIr
Source: Alexandria
Functional: GGA-PBE
Structure: relaxed

Properties
- total magnetic moment (μB per formula unit) = 0.000
- mass density (g cm⁻³) = 6.22
- space-group type = Pm-3m

Cell lengths 5.6587, 5.6587, 5.6587 Å; angles 90.00, 90.00, 90.00 degrees
Atoms (fractional coordinates):
La: 0.0000 0.0000 0.5000
La: 0.0000 0.5000 0.0000
La: 0.5000 0.0000 0.0000
Ga: 0.5000 0.5000 0.5000
Ir: 0.0000 0.0000 0.0000

=====

Arrangement two

Compound: La3GaIr
Source: Alexandria
Functional: GGA-PBE
Structure: relaxed

Properties
- total magnetic moment (μB per formula unit) = 0.000
- mass density (g cm⁻³) = 7.70
- space-group type = P-1

Cell lengths 5.9307, 6.7525, 8.6044 Å; angles 70.74, 79.38, 64.21 degrees
Atoms (fractional coordinates):
La: 0.0473 0.1591 0.1285
La: 0.3347 0.2080 0.6571
La: 0.3756 0.4750 0.2275
La: 0.6244 0.5250 0.7725
La: 0.6653 0.7920 0.3429
La: 0.9527 0.8409 0.8715
Ga: 0.1295 0.7708 0.5106
Ga: 0.8705 0.2292 0.4894
Ir: 0.4205 0.8446 0.9650
Ir: 0.5795 0.1554 0.0350

=====

Arrangement three

Compound: La3GaIr
Source: Alexandria
Functional: GGA-PBE
Structure: relaxed

Properties
- total magnetic moment (μB per formula unit) = 0.000
- mass density (g cm⁻³) = 7.60
- space-group type = C2/m

Cell lengths 7.8435, 7.8435, 10.2966 Å; angles 120.70, 120.70, 33.61 degrees
Atoms (fractional coordinates):
La: 0.0974 0.0974 0.4433
La: 0.3363 0.3363 0.1812
La: 0.3661 0.3661 0.8054
La: 0.6339 0.6339 0.1946
La: 0.6637 0.6637 0.8188
La: 0.9026 0.9026 0.5567
Ga: 0.0678 0.0678 0.9288
Ga: 0.9322 0.9322 0.0712
Ir: 0.2713 0.2713 0.4045
Ir: 0.7287 0.7287 0.5955

=====

Q: Which of them is the most stable? A: arrangement two.

=====

Arrangement one

Compound: La4GaIr
Source: Alexandria
Functional: GGA-PBE
Structure: relaxed

Properties
- total magnetic moment (μB per formula unit) = 0.000
- mass density (g cm⁻³) = 7.36
- space-group type = P2_1/m

Cell lengths 6.4991, 7.0852, 8.5206 Å; angles 90.00, 109.88, 90.00 degrees
Atoms (fractional coordinates):
La: 0.0113 0.0026 0.2296
La: 0.0113 0.4974 0.2296
La: 0.4194 0.2500 0.6214
La: 0.4392 0.2500 0.0935
La: 0.5608 0.7500 0.9065
La: 0.5806 0.7500 0.3786
La: 0.9887 0.5026 0.7704
La: 0.9887 0.9974 0.7704
Ga: 0.2087 0.7500 0.5526
Ga: 0.7913 0.2500 0.4474
Ir: 0.2393 0.7500 0.0608
Ir: 0.7607 0.2500 0.9392

=====

Arrangement two

Compound: La4GaIr
Source: Alexandria
Functional: GGA-PBE
Structure: relaxed

Properties
- total magnetic moment (μB per formula unit) = 0.000
- mass density (g cm⁻³) = 7.65
- space-group type = C2/c

Cell lengths 8.3967, 8.3967, 6.2419 Å; angles 104.22, 104.22, 114.94 degrees
Atoms (fractional coordinates):
La: 0.0643 0.6937 0.9204
La: 0.2148 0.3543 0.6762
La: 0.3063 0.9357 0.5796
La: 0.3543 0.2148 0.1762
La: 0.6457 0.7852 0.8238
La: 0.6937 0.0643 0.4204
La: 0.7852 0.6457 0.3238
La: 0.9357 0.3063 0.0796
Ga: 0.3771 0.6229 0.2500
Ga: 0.6229 0.3771 0.7500
Ir: 0.0013 0.9987 0.7500
Ir: 0.9987 0.0013 0.2500

=====

Q: Which of them is the most stable? A: arrangement two.